The following is a DFT calculation (PBE) of crystalline Np2Bi2Se7 at its relaxed geometry.

It has space group Imm2 (No. 44), with a = 4.1338 Å, b = 16.1019 Å, c = 8.9386 Å, α = 90.00°, β = 90.00° and γ = 90.00°. The distinct sites, in fractional coordinates, are Np at (0.0000, 0.0000, 0.0000), Np at (0.0000, 0.5000, 0.0410), Bi at (0.0000, 0.2671, 0.3046), Se at (0.0000, 0.0000, 0.3230), Se at (0.0000, 0.0944, 0.7187), Se at (0.0000, 0.3188, 0.9537) and Se at (0.0000, 0.3792, 0.5480).

The density of states at the Fermi level comes out at 42.39 states/eV/cell. The value obtained for the uncorrected formation energy is -0.6731 eV per atom. Its total DFT energy (no corrections) is -5.949 eV per atom. As for the total magnetic moment: 5.982 μB per formula unit.

The following is a DFT calculation (PBE) of crystalline NpBiSe2 at its relaxed geometry.

It has space group R-3m (No. 166, hexagonal axes), with a = 4.0032 Å, b = 4.0032 Å, c = 27.5474 Å, α = 90.00°, β = 90.00° and γ = 120.00°. The distinct sites, in fractional coordinates, are Np at (0.0000, 0.0000, 0.0000), Bi at (0.0000, 0.0000, 0.5000) and Se at (0.0000, 0.0000, 0.3936).

The density of states at the Fermi level comes out at 27.58 states/eV/cell. The value obtained for the uncorrected formation energy is -0.6298 eV per atom. Its total DFT energy (no corrections) is -6.577 eV per atom. As for the total magnetic moment: 3.919 μB per formula unit.

The following is a DFT calculation (PBE) of crystalline NpTl2BiSe4 at its relaxed geometry.

It has space group P2/m (No. 10), with a = 7.4126 Å, b = 4.2922 Å, c = 8.0905 Å, α = 90.00°, β = 107.80° and γ = 90.00°. The distinct sites, in fractional coordinates, are Np at (0.0000, 0.0000, 0.0000), Tl at (0.0000, 0.5000, 0.5000), Tl at (0.5000, 0.0000, 0.5000), Bi at (0.5000, 0.5000, 0.0000), Se at (0.2274, 0.5000, 0.2067) and Se at (0.2575, 0.0000, 0.7876).

The density of states at the Fermi level comes out at 8.64 states/eV/cell. The value obtained for the uncorrected formation energy is -0.6649 eV per atom. Its total DFT energy (no corrections) is -5.101 eV per atom. As for the total magnetic moment: 3.962 μB per formula unit.

The following is a DFT calculation (PBE) of crystalline NpTl3Bi3Se8 at its relaxed geometry.

It has space group R-3m (No. 166, hexagonal axes), with a = 8.5111 Å, b = 8.5111 Å, c = 23.2233 Å, α = 90.00°, β = 90.00° and γ = 120.00°. The distinct sites, in fractional coordinates, are Np at (0.0000, 0.0000, 0.0000), Tl at (0.0000, 0.5000, 0.5000), Bi at (0.0000, 0.5000, 0.0000), Se at (0.0000, 0.0000, 0.2613) and Se at (0.0130, 0.5065, 0.7358).

The density of states at the Fermi level comes out at 13.67 states/eV/cell. The value obtained for the uncorrected formation energy is -0.5798 eV per atom. Its total DFT energy (no corrections) is -4.550 eV per atom. As for the total magnetic moment: 2.998 μB per formula unit.

The following is a DFT calculation (PBE) of crystalline Np3Tl3BiSe8 at its relaxed geometry.

It has space group R-3m (No. 166, hexagonal axes), with a = 8.4163 Å, b = 8.4163 Å, c = 23.2978 Å, α = 90.00°, β = 90.00° and γ = 120.00°. The distinct sites, in fractional coordinates, are Np at (0.0000, 0.5000, 0.0000), Tl at (0.0000, 0.5000, 0.5000), Bi at (0.0000, 0.0000, 0.0000), Se at (0.0000, 0.0000, 0.2657) and Se at (0.0116, 0.5058, 0.2649).

The density of states at the Fermi level comes out at 95.67 states/eV/cell. The value obtained for the uncorrected formation energy is -0.8217 eV per atom. Its total DFT energy (no corrections) is -6.000 eV per atom. As for the total magnetic moment: 11.000 μB per formula unit.

The following is a DFT calculation (PBE) of crystalline Np2Tl3BiSe6 at its relaxed geometry.

It has space group C2/m (No. 12), with a = 7.3830 Å, b = 12.7855 Å, c = 8.1115 Å, α = 90.00°, β = 107.62° and γ = 90.00°. The distinct sites, in fractional coordinates, are Np at (0.0000, 0.1668, 0.0000), Tl at (0.0000, 0.0000, 0.5000), Tl at (0.0000, 0.3345, 0.5000), Bi at (0.0000, 0.5000, 0.0000), Se at (0.2256, 0.0000, 0.2066) and Se at (0.2406, 0.3285, 0.2077).

The density of states at the Fermi level comes out at 39.54 states/eV/cell. The value obtained for the uncorrected formation energy is -0.7441 eV per atom. Its total DFT energy (no corrections) is -5.558 eV per atom. As for the total magnetic moment: 7.993 μB per formula unit.

The following is a DFT calculation (PBE) of crystalline Np2SiBi at its relaxed geometry.

It has space group P4/mmm (No. 123), with a = 3.9274 Å, b = 3.9274 Å, c = 6.1091 Å, α = 90.00°, β = 90.00° and γ = 90.00°. The distinct sites, in fractional coordinates, are Np at (0.0000, 0.0000, 0.2170), Si at (0.5000, 0.5000, 0.0000) and Bi at (0.5000, 0.5000, 0.5000).

The density of states at the Fermi level comes out at 10.66 states/eV/cell. The value obtained for the uncorrected formation energy is -0.0175 eV per atom. Its total DFT energy (no corrections) is -8.814 eV per atom. As for the total magnetic moment: 8.334 μB per formula unit.

The following is a DFT calculation (PBE) of crystalline SmNpBi2 at its relaxed geometry.

It has space group P4/mmm (No. 123), with a = 5.9235 Å, b = 5.9235 Å, c = 3.3567 Å, α = 90.00°, β = 90.00° and γ = 90.00°. The distinct sites, in fractional coordinates, are Sm at (0.0000, 0.0000, 0.0000), Np at (0.5000, 0.5000, 0.0000) and Bi at (0.0000, 0.5000, 0.5000).

The density of states at the Fermi level comes out at 11.56 states/eV/cell. Its total DFT energy (no corrections) is -6.657 eV per atom. The calculation puts the formation energy at -301 meV per atom. As for the total magnetic moment: 4.676 μB per formula unit. For the energy above the most stable polymorph in this dataset, the calculation gives 97 meV/atom.

The following is a DFT calculation (PBE) of crystalline Sm2NpBi3 at its relaxed geometry.

It has space group Fddd (No. 70, origin choice 2), with a = 9.0969 Å, b = 12.8502 Å, c = 27.2593 Å, α = 90.00°, β = 90.00° and γ = 90.00°. The distinct sites, in fractional coordinates, are Sm at (0.1250, 0.1250, 0.0423), Sm at (0.1250, 0.1250, 0.3744), Np at (0.1250, 0.1250, 0.5415), Bi at (0.1220, 0.3750, 0.8750) and Bi at (0.1237, 0.3734, 0.7090).

The density of states at the Fermi level comes out at 197.38 states/eV/cell. Its total DFT energy (no corrections) is -6.244 eV per atom. The calculation puts the formation energy at -574 meV per atom. As for the total magnetic moment: 3.973 μB per formula unit.

The following is a DFT calculation (PBE) of crystalline Sm5NpBi6 at its relaxed geometry.

It has space group C2/m (No. 12), with a = 7.8856 Å, b = 13.6581 Å, c = 7.8875 Å, α = 90.00°, β = 109.45° and γ = 90.00°. The distinct sites, in fractional coordinates, are Sm at (0.0000, 0.0000, 0.0000), Sm at (0.0000, 0.1662, 0.5000), Sm at (0.0000, 0.3322, 0.0000), Np at (0.0000, 0.5000, 0.5000), Bi at (0.2482, 0.3346, 0.7486) and Bi at (0.2475, 0.5000, 0.2511).

The density of states at the Fermi level comes out at 22.71 states/eV/cell. Its total DFT energy (no corrections) is -5.734 eV per atom. The calculation puts the formation energy at -749 meV per atom. As for the total magnetic moment: 3.846 μB per formula unit.

The following is a DFT calculation (PBE) of crystalline Sm4NpBi5 at its relaxed geometry.

It has space group Immm (No. 71), with a = 4.5501 Å, b = 6.4301 Å, c = 22.7786 Å, α = 90.00°, β = 90.00° and γ = 90.00°. The distinct sites, in fractional coordinates, are Sm at (0.0000, 0.0000, 0.1007), Sm at (0.0000, 0.0000, 0.2996), Np at (0.0000, 0.0000, 0.5000), Bi at (0.0000, 0.5000, 0.0987), Bi at (0.0000, 0.5000, 0.2996) and Bi at (0.0000, 0.5000, 0.5000).

The density of states at the Fermi level comes out at 23.68 states/eV/cell. Its total DFT energy (no corrections) is -5.836 eV per atom. The calculation puts the formation energy at -714 meV per atom. As for the total magnetic moment: 3.877 μB per formula unit.

The following is a DFT calculation (PBE) of crystalline SmNpBi2 at its relaxed geometry.

It has space group Fm-3m (No. 225), with a = 7.8022 Å, b = 7.8022 Å, c = 7.8022 Å, α = 90.00°, β = 90.00° and γ = 90.00°. The distinct sites, in fractional coordinates, are Sm at (0.0000, 0.0000, 0.0000), Np at (0.0000, 0.0000, 0.5000) and Bi at (0.2500, 0.2500, 0.2500).

The density of states at the Fermi level comes out at 59.67 states/eV/cell. Its total DFT energy (no corrections) is -6.588 eV per atom. The calculation puts the formation energy at -233 meV per atom. As for the total magnetic moment: 4.708 μB per formula unit. For the energy above the most stable polymorph in this dataset, the calculation gives 165 meV/atom.